VASP calculation (PBE) on an optimized crystal structure of TaNiH.

```
data_TaNiH
_symmetry_space_group_name_H-M 'P 1'
_symmetry_Int_Tables_number 1
_cell_length_a 4.2750
_cell_length_b 2.9425
_cell_length_c 10.1574
_cell_angle_alpha 90.00
_cell_angle_beta 90.00
_cell_angle_gamma 90.00
loop_
_symmetry_equiv_pos_as_xyz
'x,y,z'
loop_
_atom_site_label
_atom_site_fract_x
_atom_site_fract_y
_atom_site_fract_z
Ta1 0.0000 0.5000 0.9543
Ni1 0.0000 0.5000 0.6578
H1 0.2389 0.5000 0.7957
H2 0.7611 0.5000 0.7957
H3 0.2389 0.0000 0.2957
Ni2 0.0000 0.0000 0.1578
Ta2 0.5000 0.5000 0.2523
Ta3 0.5000 0.0000 0.7523
H4 0.7611 0.0000 0.2957
Ni3 0.5000 0.5000 0.5274
Ni4 0.5000 0.0000 0.0274
Ta4 0.0000 0.0000 0.4543
```

---

VASP calculation (PBE) on an optimized crystal structure of TaNiH2.

```
data_TaNiH2
_symmetry_space_group_name_H-M 'P 1'
_symmetry_Int_Tables_number 1
_cell_length_a 2.9300
_cell_length_b 5.0153
_cell_length_c 4.8686
_cell_angle_alpha 100.38
_cell_angle_beta 107.55
_cell_angle_gamma 89.97
loop_
_symmetry_equiv_pos_as_xyz
'x,y,z'
loop_
_atom_site_label
_atom_site_fract_x
_atom_site_fract_y
_atom_site_fract_z
H1 0.6161 0.8674 0.7322
Ta1 0.2500 0.7500 0.0000
H2 0.1161 0.3674 0.7322
H3 0.8839 0.6326 0.2678
H4 0.3839 0.1326 0.2678
Ni1 0.5000 0.5000 0.5000
Ni2 0.0000 0.0000 0.5000
Ta2 0.7500 0.2500 0.0000
```

---

VASP calculation (PBE) on an optimized crystal structure of TaNiH.

```
data_TaNiH
_symmetry_space_group_name_H-M 'P 1'
_symmetry_Int_Tables_number 1
_cell_length_a 2.8957
_cell_length_b 4.7484
_cell_length_c 4.8330
_cell_angle_alpha 80.49
_cell_angle_beta 89.26
_cell_angle_gamma 106.55
loop_
_symmetry_equiv_pos_as_xyz
'x,y,z'
loop_
_atom_site_label
_atom_site_fract_x
_atom_site_fract_y
_atom_site_fract_z
Ni1 0.1555 0.3423 0.8921
Ta1 0.8907 0.8158 0.6873
H1 0.5215 0.1019 0.7399
Ta2 0.6551 0.3598 0.3596
H2 0.0244 0.0737 0.3069
Ni2 0.3903 0.8334 0.1548
```

---

VASP calculation (PBE) on an optimized crystal structure of TaNiH.

```
data_TaNiH
_symmetry_space_group_name_H-M 'P 1'
_symmetry_Int_Tables_number 1
_cell_length_a 4.2364
_cell_length_b 2.9387
_cell_length_c 10.2054
_cell_angle_alpha 90.00
_cell_angle_beta 91.02
_cell_angle_gamma 90.00
loop_
_symmetry_equiv_pos_as_xyz
'x,y,z'
loop_
_atom_site_label
_atom_site_fract_x
_atom_site_fract_y
_atom_site_fract_z
Ta1 0.2210 0.0000 0.3469
Ta2 0.7790 0.5000 0.1531
Ni1 0.2499 0.0000 0.0630
Ni2 0.7501 0.5000 0.4370
Ta3 0.2210 0.5000 0.8469
Ni3 0.2499 0.5000 0.5630
Ni4 0.7501 0.0000 0.9370
H1 0.4884 0.5000 0.6913
H2 0.4884 0.0000 0.1913
H3 0.5116 0.5000 0.3087
H4 0.5116 0.0000 0.8087
Ta4 0.7790 0.0000 0.6531
```

---

Number 1: E above lowest polymorph 0.038 eV per atom, Fermi-level density of states 1.70 states/eV/f.u., uncorrected energy -7.1679 eV/atom. Number 2: E above lowest polymorph 0.050 eV per atom, Fermi-level density of states 2.04 states/eV/f.u., uncorrected energy -6.1471 eV/atom. Number 3: E above lowest polymorph 0.084 eV per atom, Fermi-level density of states 1.56 states/eV/f.u., uncorrected energy -7.1221 eV/atom. Number 4: E above lowest polymorph 0.046 eV per atom, Fermi-level density of states 1.85 states/eV/f.u., uncorrected energy -7.1602 eV/atom.